# 1
A plane-wave DFT calculation with PBE-GGA was carried out for an optimized crystal structure of LiZrFe2Br.

## Properties
Space-group type: P4/mmm, No. 123
Electronic total energy: -0.17152 hartree per atom
Spin magnetization: 0.63 μB per atom
Raw formation energy: 552 kJ/mol of formula units

a = 4.586 Å, b = 4.586 Å, c = 6.740 Å
α = 90.00°, β = 90.00°, γ = 90.00°
Fractional positions:
1 Li 0.000 0.000 0.000
2 Zr 0.000 0.000 0.500
3 Fe 0.000 0.500 0.500
4 Fe 0.500 0.000 0.500
5 Br 0.500 0.500 0.000



# 2
A plane-wave DFT calculation with PBE-GGA was carried out for an optimized crystal structure of MgFe2Br2.

## Properties
Space-group type: P4/mbm, No. 127
Electronic total energy: -0.14968 hartree per atom
Spin magnetization: 0.88 μB per atom
Raw formation energy: 145 kJ/mol of formula units
Energy relative to the lowest polymorph listed for this composition: 0.000 eV per atom

a = 6.937 Å, b = 6.937 Å, c = 4.533 Å
α = 90.00°, β = 90.00°, γ = 90.00°
Fractional positions:
1 Mg 0.000 0.000 0.000
2 Mg 0.500 0.500 0.000
3 Fe 0.112 0.388 0.000
4 Fe 0.388 0.888 0.000
5 Fe 0.612 0.112 0.000
6 Fe 0.888 0.612 0.000
7 Br 0.184 0.316 0.500
8 Br 0.316 0.816 0.500
9 Br 0.684 0.184 0.500
10 Br 0.816 0.684 0.500



# 3
A plane-wave DFT calculation with PBE-GGA was carried out for an optimized crystal structure of Mg4FeBr.

## Properties
Space-group type: F-43m, No. 216
Electronic total energy: -0.08590 hartree per atom
Spin magnetization: 0.37 μB per atom
Raw formation energy: 240 kJ/mol of formula units

a = 5.794 Å, b = 5.794 Å, c = 5.794 Å
α = 60.00°, β = 60.00°, γ = 60.00°
Fractional positions:
1 Mg 0.376 0.376 0.376
2 Mg 0.376 0.376 0.871
3 Mg 0.376 0.871 0.376
4 Mg 0.871 0.376 0.376
5 Fe 0.750 0.750 0.750
6 Br 0.000 0.000 0.000



# 4
A plane-wave DFT calculation with PBE-GGA was carried out for an optimized crystal structure of MgFe3Br.

## Properties
Space-group type: Pm-3m, No. 221
Electronic total energy: -0.17537 hartree per atom
Spin magnetization: 1.11 μB per atom
Raw formation energy: 463 kJ/mol of formula units
Energy relative to the lowest polymorph listed for this composition: 0.000 eV per atom

a = 4.384 Å, b = 4.384 Å, c = 4.384 Å
α = 90.00°, β = 90.00°, γ = 90.00°
Fractional positions:
1 Mg 0.000 0.000 0.000
2 Fe 0.000 0.500 0.500
3 Fe 0.500 0.000 0.500
4 Fe 0.500 0.500 0.000
5 Br 0.500 0.500 0.500



# 5
A plane-wave DFT calculation with PBE-GGA was carried out for an optimized crystal structure of MgFeBr3.

## Properties
Space-group type: Pm-3m, No. 221
Electronic total energy: -0.11849 hartree per atom
Spin magnetization: 0.78 μB per atom
Raw formation energy: -101 kJ/mol of formula units
Energy relative to the lowest polymorph listed for this composition: 0.000 eV per atom

a = 5.224 Å, b = 5.224 Å, c = 5.224 Å
α = 90.00°, β = 90.00°, γ = 90.00°
Fractional positions:
1 Mg 0.000 0.000 0.000
2 Fe 0.500 0.500 0.500
3 Br 0.000 0.000 0.500
4 Br 0.000 0.500 0.000
5 Br 0.500 0.000 0.000



# 6
A plane-wave DFT calculation with PBE-GGA was carried out for an optimized crystal structure of MgFe2Br2.

## Properties
Space-group type: I4/mmm, No. 139
Electronic total energy: -0.13558 hartree per atom
Spin magnetization: 0.00 μB per atom
Raw formation energy: 330 kJ/mol of formula units
Energy relative to the lowest polymorph listed for this composition: 0.384 eV per atom

a = 4.346 Å, b = 4.346 Å, c = 9.828 Å
α = 90.00°, β = 90.00°, γ = 90.00°
Fractional positions:
1 Mg 0.000 0.000 0.000
2 Mg 0.500 0.500 0.500
3 Fe 0.000 0.000 0.394
4 Fe 0.000 0.000 0.606
5 Fe 0.500 0.500 0.106
6 Fe 0.500 0.500 0.894
7 Br 0.000 0.500 0.250
8 Br 0.000 0.500 0.750
9 Br 0.500 0.000 0.250
10 Br 0.500 0.000 0.750



# 7
A plane-wave DFT calculation with PBE-GGA was carried out for an optimized crystal structure of Mg3FeBr.

## Properties
Space-group type: Pm-3m, No. 221
Electronic total energy: -0.08015 hartree per atom
Spin magnetization: 0.50 μB per atom
Raw formation energy: 387 kJ/mol of formula units
Energy relative to the lowest polymorph listed for this composition: 0.288 eV per atom

a = 5.088 Å, b = 5.088 Å, c = 5.088 Å
α = 90.00°, β = 90.00°, γ = 90.00°
Fractional positions:
1 Mg 0.000 0.000 0.500
2 Mg 0.000 0.500 0.000
3 Mg 0.500 0.000 0.000
4 Fe 0.500 0.500 0.500
5 Br 0.000 0.000 0.000



# 8
A plane-wave DFT calculation with PBE-GGA was carried out for an optimized crystal structure of Mg3FeBr.

## Properties
Space-group type: Pm-3m, No. 221
Electronic total energy: -0.09074 hartree per atom
Spin magnetization: 0.00 μB per atom
Raw formation energy: 248 kJ/mol of formula units
Energy relative to the lowest polymorph listed for this composition: 0.000 eV per atom

a = 5.002 Å, b = 5.002 Å, c = 5.002 Å
α = 90.00°, β = 90.00°, γ = 90.00°
Fractional positions:
1 Mg 0.000 0.000 0.500
2 Mg 0.000 0.500 0.000
3 Mg 0.500 0.000 0.000
4 Fe 0.000 0.000 0.000
5 Br 0.500 0.500 0.500